Arrangement A

{"formula": "Mg2HI", "functional": "PBE", "state": "relaxed", "cell": [[5.5166, 0.0000, 0.0000], [0.0000, 5.5166, 0.0000], [0.0000, 0.0000, 13.3136]], "species": ["Mg", "Mg", "Mg", "Mg", "Mg", "Mg", "Mg", "Mg", "H", "H", "H", "H", "I", "I", "I", "I"], "frac_coords": [[0.0966, 0.2500, 0.1250], [0.2500, 0.5966, 0.3750], [0.2500, 0.9034, 0.8750], [0.4034, 0.2500, 0.6250], [0.5966, 0.7500, 0.6250], [0.7500, 0.0966, 0.8750], [0.7500, 0.4034, 0.3750], [0.9034, 0.7500, 0.1250], [0.0000, 0.0000, 0.0000], [0.0000, 0.5000, 0.2500], [0.5000, 0.0000, 0.7500], [0.5000, 0.5000, 0.5000], [0.0000, 0.0000, 0.5000], [0.0000, 0.5000, 0.7500], [0.5000, 0.0000, 0.2500], [0.5000, 0.5000, 0.0000]], "dos_at_fermi_per_ev_cell": 0.82, "crystal_system": "tetragonal"}

=====

Arrangement B

{"formula": "Mg2HI", "functional": "PBE", "state": "relaxed", "cell": [[7.1519, 0.0000, 0.0000], [0.0000, 7.1519, 0.0000], [0.0000, 0.0000, 7.1519]], "species": ["Mg", "Mg", "Mg", "Mg", "Mg", "Mg", "Mg", "Mg", "H", "H", "H", "H", "I", "I", "I", "I"], "frac_coords": [[0.2500, 0.2500, 0.2500], [0.2500, 0.2500, 0.7500], [0.2500, 0.7500, 0.2500], [0.2500, 0.7500, 0.7500], [0.7500, 0.2500, 0.2500], [0.7500, 0.2500, 0.7500], [0.7500, 0.7500, 0.2500], [0.7500, 0.7500, 0.7500], [0.0000, 0.0000, 0.0000], [0.0000, 0.5000, 0.5000], [0.5000, 0.0000, 0.5000], [0.5000, 0.5000, 0.0000], [0.0000, 0.0000, 0.5000], [0.0000, 0.5000, 0.0000], [0.5000, 0.0000, 0.0000], [0.5000, 0.5000, 0.5000]], "dos_at_fermi_per_ev_cell": 3.61, "crystal_system": "cubic"}

=====

Energetically preferred structure: arrangement A | next structure: +0.365 eV/atom

=====

Arrangement A

{"formula": "MgHIO2", "functional": "PBE", "state": "relaxed", "cell": [[4.3292, 0.0000, 0.0000], [0.0000, 4.3292, 0.0000], [0.0000, 0.0000, 3.4311]], "species": ["Mg", "H", "I", "O", "O"], "frac_coords": [[0.0000, 0.0000, 0.0000], [0.5000, 0.5000, 0.5000], [0.5000, 0.5000, 0.0000], [0.0000, 0.5000, 0.5000], [0.5000, 0.0000, 0.5000]], "dos_at_fermi_per_ev_cell": 2.93, "crystal_system": "tetragonal"}

=====

Arrangement B

{"formula": "MgHIO2", "functional": "PBE", "state": "relaxed", "cell": [[3.7440, 0.0000, 0.0000], [0.0000, 3.7440, 0.0000], [0.0000, 0.0000, 7.3488]], "species": ["Mg", "H", "I", "O", "O"], "frac_coords": [[0.0000, 0.0000, 0.0000], [0.5000, 0.5000, 0.5000], [0.0000, 0.0000, 0.5000], [0.0000, 0.5000, 0.0000], [0.5000, 0.0000, 0.0000]], "dos_at_fermi_per_ev_cell": 4.39, "crystal_system": "tetragonal"}

=====

Energetically preferred structure: arrangement B | next structure: +0.262 eV/atom

=====

Arrangement A

{"formula": "MgHI2O", "functional": "PBE", "state": "relaxed", "cell": [[6.0061, 0.0000, 0.0000], [0.0000, 6.0061, 0.0000], [0.0000, 0.0000, 2.9018]], "species": ["Mg", "H", "I", "I", "O"], "frac_coords": [[0.0000, 0.0000, 0.0000], [0.5000, 0.5000, 0.5000], [0.0000, 0.5000, 0.5000], [0.5000, 0.0000, 0.5000], [0.5000, 0.5000, 0.0000]], "dos_at_fermi_per_ev_cell": 4.17, "crystal_system": "tetragonal"}

=====

Arrangement B

{"formula": "MgHI2O", "functional": "PBE", "state": "relaxed", "cell": [[6.3111, 0.0000, 0.0000], [0.0000, 6.3111, 0.0000], [0.0000, 0.0000, 3.6037]], "species": ["Mg", "H", "I", "I", "O"], "frac_coords": [[0.0000, 0.0000, 0.0000], [0.5000, 0.5000, 0.5000], [0.0000, 0.5000, 0.0000], [0.5000, 0.0000, 0.0000], [0.0000, 0.0000, 0.5000]], "dos_at_fermi_per_ev_cell": 4.77, "crystal_system": "tetragonal"}

=====

Energetically preferred structure: arrangement B | next structure: +0.234 eV/atom

=====

Arrangement A

{"formula": "MgSbHI2", "functional": "PBE", "state": "relaxed", "cell": [[5.8388, 0.0000, 0.0000], [0.0000, 5.8388, 0.0000], [0.0000, 0.0000, 5.5811]], "species": ["Mg", "Sb", "H", "I", "I"], "frac_coords": [[0.0000, 0.0000, 0.0000], [0.0000, 0.0000, 0.5000], [0.5000, 0.5000, 0.5000], [0.0000, 0.5000, 0.0000], [0.5000, 0.0000, 0.0000]], "dos_at_fermi_per_ev_cell": 3.54, "crystal_system": "tetragonal"}

=====

Arrangement B

{"formula": "MgSbHI2", "functional": "PBE", "state": "relaxed", "cell": [[5.6588, 0.0000, 0.0000], [0.0000, 5.6588, 0.0000], [0.0000, 0.0000, 3.9798]], "species": ["Mg", "Sb", "H", "I", "I"], "frac_coords": [[0.0000, 0.0000, 0.0000], [0.5000, 0.5000, 0.0000], [0.5000, 0.5000, 0.5000], [0.0000, 0.5000, 0.5000], [0.5000, 0.0000, 0.5000]], "dos_at_fermi_per_ev_cell": 2.25, "crystal_system": "tetragonal"}

=====

Energetically preferred structure: arrangement B | next structure: +0.232 eV/atom

=====

Arrangement A

{"formula": "MgSb2HI", "functional": "PBE", "state": "relaxed", "cell": [[4.3617, 0.0000, 0.0000], [0.0000, 4.3617, 0.0000], [0.0000, 0.0000, 6.7845]], "species": ["Mg", "Sb", "Sb", "H", "I"], "frac_coords": [[0.0000, 0.0000, 0.0000], [0.0000, 0.5000, 0.5000], [0.5000, 0.0000, 0.5000], [0.5000, 0.5000, 0.5000], [0.5000, 0.5000, 0.0000]], "dos_at_fermi_per_ev_cell": 3.56, "crystal_system": "tetragonal"}

=====

Arrangement B

{"formula": "MgSb2HI", "functional": "PBE", "state": "relaxed", "cell": [[5.4537, 0.0000, 0.0000], [0.0000, 5.4537, 0.0000], [0.0000, 0.0000, 5.8887]], "species": ["Mg", "Sb", "Sb", "H", "I"], "frac_coords": [[0.0000, 0.0000, 0.0000], [0.0000, 0.5000, 0.0000], [0.5000, 0.0000, 0.0000], [0.5000, 0.5000, 0.5000], [0.0000, 0.0000, 0.5000]], "dos_at_fermi_per_ev_cell": 5.24, "crystal_system": "tetragonal"}

=====

Energetically preferred structure: arrangement A | next structure: +0.519 eV/atom

=====

Arrangement A

{"formula": "Mg2ZrHI", "functional": "PBE", "state": "relaxed", "cell": [[5.2268, 0.0000, 0.0000], [0.0000, 5.2268, 0.0000], [0.0000, 0.0000, 3.8048]], "species": ["Mg", "Mg", "Zr", "H", "I"], "frac_coords": [[0.0000, 0.5000, 0.0000], [0.5000, 0.0000, 0.0000], [0.0000, 0.0000, 0.5000], [0.0000, 0.0000, 0.0000], [0.5000, 0.5000, 0.5000]], "dos_at_fermi_per_ev_cell": 4.32, "crystal_system": "tetragonal"}

=====

Arrangement B

{"formula": "Mg2ZrHI", "functional": "PBE", "state": "relaxed", "cell": [[4.1382, 0.0000, 0.0000], [0.0000, 4.1382, 0.0000], [0.0000, 0.0000, 5.7286]], "species": ["Mg", "Mg", "Zr", "H", "I"], "frac_coords": [[0.0000, 0.5000, 0.0000], [0.5000, 0.0000, 0.0000], [0.0000, 0.0000, 0.5000], [0.5000, 0.5000, 0.0000], [0.5000, 0.5000, 0.5000]], "dos_at_fermi_per_ev_cell": 3.48, "crystal_system": "tetragonal"}

=====

Energetically preferred structure: arrangement A | next structure: +0.043 eV/atom